1.
Li4SbTe3O12 | Alexandria | GGA-PBEsol | optimized geometry; D(E_F) = 0.11 states/eV/atom; total magnetization = 0.00 μB per cell; crystal system = triclinic
1.0
5.212 0.000 0.000
0.003 5.551 0.000
0.001 0.670 7.598
Li Sb Te O
4 1 3 12
direct
0.000 0.000 0.000
0.007 0.010 0.497
0.503 0.505 0.006
0.514 0.499 0.494
0.506 0.931 0.213
0.005 0.432 0.214
0.007 0.437 0.716
0.506 0.928 0.712
0.139 0.411 0.967
0.180 0.092 0.266
0.207 0.751 0.630
0.334 0.222 0.630
0.340 0.604 0.266
0.367 0.910 0.953
0.645 0.900 0.466
0.655 0.606 0.769
0.696 0.229 0.130
0.806 0.738 0.133
0.824 0.077 0.769
0.877 0.404 0.459

=====

2.
Li4SbTe3O12 | Alexandria | GGA-PBEsol | optimized geometry; D(E_F) = 0.24 states/eV/atom; total magnetization = 0.01 μB per cell; crystal system = monoclinic
1.0
5.066 0.000 0.000
0.000 9.035 0.000
-0.469 0.000 5.146
Li Sb Te O
4 1 3 12
direct
0.000 0.000 0.000
0.000 0.307 0.500
0.500 0.475 0.500
0.500 0.836 0.000
0.500 0.057 0.500
0.000 0.558 0.000
0.000 0.755 0.500
0.500 0.246 0.000
0.212 0.595 0.352
0.212 0.717 0.849
0.265 0.912 0.313
0.283 0.220 0.294
0.288 0.386 0.803
0.291 0.083 0.811
0.709 0.083 0.189
0.712 0.386 0.197
0.717 0.220 0.706
0.735 0.912 0.687
0.788 0.595 0.648
0.788 0.717 0.151

=====

The data favor 2; the next most stable structure lies 12 meV/atom above it.